VASP calculation (PBE-GGA) on EuMgScHg after structural relaxation.

Density ... 6.74 Mg/m³
Symmetry ... No. 216
ΔH_f (0 K) ... -190 meV/atom

The structure in extended XYZ format:
```
16
Lattice="7.4639 0.0000 0.0000 0.0000 7.4639 0.0000 0.0000 0.0000 7.4639" Properties=species:S:1:pos:R:3 pbc="T T T"
Eu 0.0000 0.0000 0.0000
Eu 0.0000 3.7320 3.7320
Eu 3.7320 0.0000 3.7320
Eu 3.7320 3.7320 0.0000
Mg 1.8660 1.8660 5.5979
Mg 1.8660 5.5979 1.8660
Mg 5.5979 1.8660 1.8660
Mg 5.5979 5.5979 5.5979
Sc 0.0000 0.0000 3.7320
Sc 0.0000 3.7320 0.0000
Sc 3.7320 0.0000 0.0000
Sc 3.7320 3.7320 3.7320
Hg 1.8660 1.8660 1.8660
Hg 1.8660 5.5979 5.5979
Hg 5.5979 1.8660 5.5979
Hg 5.5979 5.5979 1.8660
```

=====

VASP calculation (PBE-GGA) on InMoAu3 after structural relaxation.

Density ... 9.93 Mg/m³
Symmetry ... No. 221
ΔH_f (0 K) ... 884 meV/atom
Distance to the lowest polymorph of the same formula ... 0.00 kJ per mole of atoms

The structure in extended XYZ format:
```
5
Lattice="5.1177 0.0000 0.0000 0.0000 5.1177 0.0000 0.0000 0.0000 5.1177" Properties=species:S:1:pos:R:3 pbc="T T T"
In 0.0000 0.0000 0.0000
Mo 2.5589 2.5589 2.5589
Au 0.0000 2.5589 2.5589
Au 2.5589 0.0000 2.5589
Au 2.5589 2.5589 0.0000
```

=====

VASP calculation (PBE-GGA) on AcThAs after structural relaxation.

Density ... 7.99 Mg/m³
Symmetry ... No. 123
ΔH_f (0 K) ... -582 meV/atom
Distance to the lowest polymorph of the same formula ... 2.44 kJ per mole of atoms

The structure in extended XYZ format:
```
3
Lattice="4.3962 0.0000 0.0000 0.0000 4.3962 0.0000 0.0000 0.0000 5.7454" Properties=species:S:1:pos:R:3 pbc="T T T"
Ac 0.0000 0.0000 0.0000
Th 2.1981 2.1981 2.8727
As 2.1981 2.1981 0.0000
```

=====

VASP calculation (PBE-GGA) on Rb2TcOs after structural relaxation.

Density ... 5.70 Mg/m³
Symmetry ... No. 225
ΔH_f (0 K) ... 2510 meV/atom
Distance to the lowest polymorph of the same formula ... 91.75 kJ per mole of atoms

The structure in extended XYZ format:
```
16
Lattice="8.1170 0.0000 0.0000 0.0000 8.1170 0.0000 0.0000 0.0000 8.1170" Properties=species:S:1:pos:R:3 pbc="T T T"
Rb 2.0293 2.0293 2.0293
Rb 2.0293 2.0293 6.0878
Rb 2.0293 6.0878 2.0293
Rb 2.0293 6.0878 6.0878
Rb 6.0878 2.0293 2.0293
Rb 6.0878 2.0293 6.0878
Rb 6.0878 6.0878 2.0293
Rb 6.0878 6.0878 6.0878
Tc 0.0000 0.0000 0.0000
Tc 0.0000 4.0585 4.0585
Tc 4.0585 0.0000 4.0585
Tc 4.0585 4.0585 0.0000
Os 0.0000 0.0000 4.0585
Os 0.0000 4.0585 0.0000
Os 4.0585 0.0000 0.0000
Os 4.0585 4.0585 4.0585
```

=====

VASP calculation (PBE-GGA) on Na5PrTl6 after structural relaxation.

Density ... 7.28 Mg/m³
Symmetry ... No. 65
ΔH_f (0 K) ... -151 meV/atom

The structure in extended XYZ format:
```
12
Lattice="2.6374 -7.9856 0.0000 2.6374 7.9856 0.0000 0.0000 0.0000 8.0288" Properties=species:S:1:pos:R:3 pbc="T T T"
Na 0.0000 0.0000 0.0000
Na 2.6374 2.7103 0.0000
Na 2.6374 2.6646 4.0144
Na 2.6374 -2.6646 4.0144
Na 2.6374 -2.7103 0.0000
Pr 0.0000 0.0000 4.0144
Tl 2.6374 5.2796 2.0543
Tl 2.6374 5.2796 5.9745
Tl 2.6374 0.0000 1.9191
Tl 2.6374 0.0000 6.1097
Tl 2.6374 -5.2796 2.0543
Tl 2.6374 -5.2796 5.9745
```

=====

VASP calculation (PBE-GGA) on Cr2InAs after structural relaxation.

Density ... 6.82 Mg/m³
Symmetry ... No. 44
ΔH_f (0 K) ... 308 meV/atom
Distance to the lowest polymorph of the same formula ... 15.70 kJ per mole of atoms

The structure in extended XYZ format:
```
8
Lattice="3.4026 0.0000 0.0000 0.0000 4.1345 0.0000 0.0000 0.0000 10.1605" Properties=species:S:1:pos:R:3 pbc="T T T"
Cr 0.0000 0.0000 0.0000
Cr 0.0000 2.0673 2.2711
Cr 1.7013 0.0000 7.3514
Cr 1.7013 2.0673 5.0803
In 0.0000 2.0673 7.9839
In 1.7013 0.0000 2.9036
As 0.0000 0.0000 5.4796
As 1.7013 2.0673 0.3993
```

=====

VASP calculation (PBE-GGA) on TbY2In3Te6 after structural relaxation.

Density ... 5.84 Mg/m³
Symmetry ... No. 12
Total DFT energy (no corrections) ... -4.7015 eV per atom

The structure in extended XYZ format:
```
12
Lattice="3.8271 -6.6286 0.0000 3.8271 6.6286 0.0000 -2.5527 0.0000 8.1058" Properties=species:S:1:pos:R:3 pbc="T T T"
Tb 0.0000 0.0000 0.0000
Y 3.8271 2.2107 0.0000
Y 3.8271 -2.2107 0.0000
In 2.5507 4.4248 4.0529
In 2.5507 0.0000 4.0529
In 2.5507 -4.4248 4.0529
Te 1.2779 2.2134 1.7823
Te 0.0036 0.0000 6.3267
Te 1.2779 -2.2134 1.7823
Te 3.8235 2.2134 6.3235
Te 5.0978 0.0000 1.7791
Te 3.8235 -2.2134 6.3235
```

=====

VASP calculation (PBE-GGA) on LaPuPtAu after structural relaxation.

Density ... 13.24 Mg/m³
Symmetry ... No. 216
ΔH_f (0 K) ... -726 meV/atom
Distance to the lowest polymorph of the same formula ... 4.68 kJ per mole of atoms

The structure in extended XYZ format:
```
16
Lattice="7.2989 0.0000 0.0000 0.0000 7.2989 0.0000 0.0000 0.0000 7.2989" Properties=species:S:1:pos:R:3 pbc="T T T"
La 0.0000 0.0000 0.0000
La 0.0000 3.6495 3.6495
La 3.6495 0.0000 3.6495
La 3.6495 3.6495 0.0000
Pu 0.0000 0.0000 3.6495
Pu 0.0000 3.6495 0.0000
Pu 3.6495 0.0000 0.0000
Pu 3.6495 3.6495 3.6495
Pt 1.8247 1.8247 1.8247
Pt 1.8247 5.4742 5.4742
Pt 5.4742 1.8247 5.4742
Pt 5.4742 5.4742 1.8247
Au 1.8247 1.8247 5.4742
Au 1.8247 5.4742 1.8247
Au 5.4742 1.8247 1.8247
Au 5.4742 5.4742 5.4742
```

=====

VASP calculation (PBE-GGA) on Ba2CaTc after structural relaxation.

Density ... 4.46 Mg/m³
Symmetry ... No. 166
ΔH_f (0 K) ... 754 meV/atom
Distance to the lowest polymorph of the same formula ... 14.77 kJ per mole of atoms

The structure in extended XYZ format:
```
12
Lattice="3.8996 0.0000 0.0000 -1.9498 3.3772 0.0000 0.0000 0.0000 35.0316" Properties=species:S:1:pos:R:3 pbc="T T T"
Ba 0.0000 0.0000 8.0187
Ba 0.0000 0.0000 27.0129
Ba 0.0000 2.2515 15.3358
Ba 0.0000 2.2515 31.3730
Ba 1.9498 1.1257 3.6586
Ba 1.9498 1.1257 19.6959
Ca 0.0000 0.0000 0.0000
Ca 0.0000 2.2515 23.3544
Ca 1.9498 1.1257 11.6772
Tc 0.0000 0.0000 17.5158
Tc 0.0000 2.2515 5.8386
Tc 1.9498 1.1257 29.1930
```

=====

VASP calculation (PBE-GGA) on NdTiP2 after structural relaxation.

Density ... 4.89 Mg/m³
Symmetry ... No. 119
ΔH_f (0 K) ... -913 meV/atom
Distance to the lowest polymorph of the same formula ... 31.55 kJ per mole of atoms

The structure in extended XYZ format:
```
8
Lattice="3.7230 0.0000 0.0000 0.0000 3.7230 0.0000 0.0000 0.0000 12.4572" Properties=species:S:1:pos:R:3 pbc="T T T"
Nd 0.0000 0.0000 0.0000
Nd 1.8615 1.8615 6.2286
Ti 0.0000 1.8615 9.3429
Ti 1.8615 0.0000 3.1143
P 0.0000 0.0000 4.6405
P 0.0000 0.0000 7.8167
P 1.8615 1.8615 1.5881
P 1.8615 1.8615 10.8691
```

=====

VASP calculation (PBE-GGA) on Ti4Pt2C after structural relaxation.

Density ... 8.99 Mg/m³
Symmetry ... No. 139
ΔH_f (0 K) ... -667 meV/atom
Distance to the lowest polymorph of the same formula ... 5.04 kJ per mole of atoms

The structure in extended XYZ format:
```
14
Lattice="4.1296 0.0000 0.0000 0.0000 4.1296 0.0000 0.0000 0.0000 12.8542" Properties=species:S:1:pos:R:3 pbc="T T T"
Ti 0.0000 0.0000 2.1904
Ti 0.0000 0.0000 10.6638
Ti 0.0000 2.0648 0.0000
Ti 0.0000 2.0648 6.4271
Ti 2.0648 0.0000 0.0000
Ti 2.0648 0.0000 6.4271
Ti 2.0648 2.0648 4.2367
Ti 2.0648 2.0648 8.6175
Pt 0.0000 0.0000 4.6431
Pt 0.0000 0.0000 8.2110
Pt 2.0648 2.0648 1.7839
Pt 2.0648 2.0648 11.0702
C 0.0000 0.0000 0.0000
C 2.0648 2.0648 6.4271
```

=====

VASP calculation (PBE-GGA) on ZrPb2Cl2 after structural relaxation.

Density ... 5.61 Mg/m³
Symmetry ... No. 139
Distance to the lowest polymorph of the same formula ... 25.79 kJ per mole of atoms

The structure in extended XYZ format:
```
10
Lattice="3.9737 0.0000 0.0000 0.0000 3.9737 0.0000 0.0000 0.0000 21.6090" Properties=species:S:1:pos:R:3 pbc="T T T"
Zr 0.0000 0.0000 0.0000
Zr 1.9868 1.9868 10.8045
Pb 0.0000 1.9868 5.4022
Pb 0.0000 1.9868 16.2067
Pb 1.9868 0.0000 5.4022
Pb 1.9868 0.0000 16.2067
Cl 0.0000 0.0000 9.3046
Cl 0.0000 0.0000 12.3044
Cl 1.9868 1.9868 1.4999
Cl 1.9868 1.9868 20.1090
```

=====

VASP calculation (PBE-GGA) on Ba2ZnCd6Ag after structural relaxation.

Density ... 6.42 Mg/m³
Symmetry ... No. 2
ΔH_f (0 K) ... -180 meV/atom

The structure in extended XYZ format:
```
10
Lattice="7.2610 0.0000 0.0000 3.6181 6.3050 0.0000 3.6268 -2.0772 6.3428" Properties=species:S:1:pos:R:3 pbc="T T T"
Ba 1.8099 1.0630 0.7936
Ba 12.6960 3.1647 5.5491
Zn 5.4439 -1.0386 3.1714
Cd 3.3507 0.2055 4.1960
Cd 6.9319 4.0920 2.1502
Cd 5.4738 1.4049 2.1724
Cd 9.0321 2.8228 4.1703
Cd 7.5740 0.1357 4.1926
Cd 11.1553 4.0222 2.1468
Ag 5.4396 3.1525 0.0000
```

=====

VASP calculation (PBE-GGA) on MgFeNi2 after structural relaxation.

Density ... 6.53 Mg/m³
Symmetry ... No. 119
ΔH_f (0 K) ... 14 meV/atom

The structure in extended XYZ format:
```
8
Lattice="3.6060 0.0000 0.0000 0.0000 3.6060 0.0000 0.0000 0.0000 7.7284" Properties=species:S:1:pos:R:3 pbc="T T T"
Mg 0.0000 0.0000 0.0000
Mg 1.8030 1.8030 3.8642
Fe 0.0000 1.8030 1.9321
Fe 1.8030 0.0000 5.7963
Ni 0.0000 0.0000 3.8642
Ni 0.0000 1.8030 5.7963
Ni 1.8030 0.0000 1.9321
Ni 1.8030 1.8030 0.0000
```

=====

VASP calculation (PBE-GGA) on TbPm2DyN4 after structural relaxation.

Density ... 8.75 Mg/m³
Symmetry ... No. 10
Total DFT energy (no corrections) ... -8.0540 eV per atom

The structure in extended XYZ format:
```
8
Lattice="6.1464 0.0000 0.0000 0.0000 3.5507 0.0000 -2.0448 0.0000 5.8007" Properties=species:S:1:pos:R:3 pbc="T T T"
Tb 0.0000 0.0000 0.0000
Pm -1.0224 1.7754 2.9004
Pm 2.0508 0.0000 2.9004
Dy 3.0732 1.7754 0.0000
N 1.0296 1.7754 1.4059
N 0.0069 0.0000 4.3968
N 4.0947 0.0000 1.4039
N 3.0720 1.7754 4.3948
```

=====

VASP calculation (PBE-GGA) on ThO4 after structural relaxation.

Density ... 5.30 Mg/m³
Symmetry ... No. 221
Total DFT energy (no corrections) ... -6.5843 eV per atom

The structure in extended XYZ format:
```
5
Lattice="4.5255 0.0000 0.0000 0.0000 4.5255 0.0000 0.0000 0.0000 4.5255" Properties=species:S:1:pos:R:3 pbc="T T T"
Th 0.0000 0.0000 0.0000
O 0.0000 0.0000 2.2628
O 0.0000 2.2628 0.0000
O 2.2628 0.0000 0.0000
O 2.2628 2.2628 2.2628
```